Material: AcV2CoO8
Method: DFT, PBE with a Hubbard U
State: relaxed

Electronic total energy = -7.35 eV per atom
Size of the total moment = 0.00 μB/atom

abc: 5.4843 5.4843 6.7014
angles: 90.00 90.00 120.00
Last column: nearest neighbours and their distance in Å.
Fractional coordinates of all 12 atoms:
Ac 0.0000 0.0000 0.0000  6 O 2.62
V 0.3333 0.6667 0.2567  4 O 1.70-1.75
V 0.6667 0.3333 0.7433  4 O 1.70-1.75
Co 0.0000 0.0000 0.5000  6 O 1.89
O 0.1555 0.3110 0.3229  1 V 1.75, 1 Co 1.89
O 0.1555 0.8445 0.3229  1 V 1.75, 1 Co 1.89
O 0.3110 0.1555 0.6771  1 V 1.75, 1 Co 1.89
O 0.3333 0.6667 0.0029  1 V 1.70
O 0.6667 0.3333 0.9971  1 V 1.70
O 0.6890 0.8445 0.3229  1 V 1.75, 1 Co 1.89
O 0.8445 0.1555 0.6771  1 V 1.75, 1 Co 1.89
O 0.8445 0.6890 0.6771  1 V 1.75, 1 Co 1.89